This record from the Alexandria database describes an optimized crystal structure of AlZnCoCu. The functional is PBE-GGA.

a b c (Å): 5.8337 5.8337 5.8337
angles (deg): 90.00 90.00 90.00
Fractional coordinates of all 16 atoms:
Al1 0.0000 0.0000 0.0000
Al2 0.0000 0.5000 0.5000
Al3 0.5000 0.0000 0.5000
Al4 0.5000 0.5000 0.0000
Zn1 0.0000 0.0000 0.5000
Zn2 0.0000 0.5000 0.0000
Zn3 0.5000 0.0000 0.0000
Zn4 0.5000 0.5000 0.5000
Co1 0.2500 0.2500 0.2500
Co2 0.2500 0.7500 0.7500
Co3 0.7500 0.2500 0.7500
Co4 0.7500 0.7500 0.2500
Cu1 0.2500 0.2500 0.7500
Cu2 0.2500 0.7500 0.2500
Cu3 0.7500 0.2500 0.2500
Cu4 0.7500 0.7500 0.7500

---

This record from the Alexandria database describes an optimized crystal structure of Dy4Al16Co3. The functional is PBE-GGA.

a b c (Å): 6.0178 6.0178 11.1727
angles (deg): 90.00 90.00 90.00
Fractional coordinates of all 23 atoms:
Dy1 0.0000 0.5000 0.1931
Dy2 0.0000 0.5000 0.8069
Dy3 0.5000 0.0000 0.1931
Dy4 0.5000 0.0000 0.8069
Al1 0.0000 0.0000 0.1933
Al2 0.0000 0.0000 0.8067
Al3 0.2243 0.2243 0.0000
Al4 0.2243 0.7757 0.0000
Al5 0.2507 0.2507 0.3848
Al6 0.2507 0.2507 0.6152
Al7 0.2507 0.7493 0.3848
Al8 0.2507 0.7493 0.6152
Al9 0.5000 0.5000 0.2141
Al10 0.5000 0.5000 0.7859
Al11 0.7493 0.2507 0.3848
Al12 0.7493 0.2507 0.6152
Al13 0.7493 0.7493 0.3848
Al14 0.7493 0.7493 0.6152
Al15 0.7757 0.2243 0.0000
Al16 0.7757 0.7757 0.0000
Co1 0.0000 0.5000 0.5000
Co2 0.5000 0.0000 0.5000
Co3 0.5000 0.5000 0.0000

---

This record from the Alexandria database describes an optimized crystal structure of Dy6AlCo2. The functional is PBE-GGA.

a b c (Å): 8.2906 8.2906 8.2906
angles (deg): 112.08 109.91 106.47
Fractional coordinates of all 18 atoms:
Dy1 0.0401 0.2383 0.8018
Dy2 0.1822 0.2825 0.4647
Dy3 0.1822 0.7175 0.8997
Dy4 0.3246 0.0124 0.6878
Dy5 0.3246 0.6368 0.3122
Dy6 0.4366 0.2383 0.1982
Dy7 0.5634 0.7617 0.8018
Dy8 0.6754 0.3632 0.6878
Dy9 0.6754 0.9876 0.3122
Dy10 0.8178 0.2825 0.1003
Dy11 0.8178 0.7175 0.5353
Dy12 0.9599 0.7617 0.1982
Al1 0.0000 0.0000 0.0000
Al2 0.5000 0.5000 0.0000
Co1 0.1146 0.6146 0.5000
Co2 0.3278 0.0000 0.3278
Co3 0.6722 0.0000 0.6722
Co4 0.8854 0.3854 0.5000

---

This record from the Alexandria database describes an optimized crystal structure of Dy2AlCo3. The functional is PBE-GGA.

## Properties
Offset from the most stable computed form   0 meV per atom

a b c (Å): 5.2828 5.2828 7.9254
angles (deg): 90.00 90.00 120.00
Fractional coordinates of all 12 atoms:
Dy1 0.3333 0.6667 0.0627
Dy2 0.3333 0.6667 0.4373
Dy3 0.6667 0.3333 0.5627
Dy4 0.6667 0.3333 0.9373
Al1 0.0000 0.0000 0.0000
Al2 0.0000 0.0000 0.5000
Co1 0.1728 0.3456 0.7500
Co2 0.1728 0.8272 0.7500
Co3 0.3456 0.1728 0.2500
Co4 0.6544 0.8272 0.7500
Co5 0.8272 0.1728 0.2500
Co6 0.8272 0.6544 0.2500

---

This record from the Alexandria database describes an optimized crystal structure of DyAlCo. The functional is PBE-GGA.

a b c (Å): 8.4239 5.3358 5.3358
angles (deg): 60.67 90.00 90.00
Fractional coordinates of all 12 atoms:
Dy1 0.1748 0.0000 0.0000
Dy2 0.2987 0.6632 0.6632
Dy3 0.7013 0.6632 0.6632
Dy4 0.8252 0.0000 0.0000
Al1 0.2254 0.3262 0.3262
Al2 0.5000 0.1637 0.6662
Al3 0.5000 0.6662 0.1637
Al4 0.7746 0.3262 0.3262
Co1 0.0000 0.5030 0.5030
Co2 0.0000 0.5027 0.9681
Co3 0.0000 0.9681 0.5027
Co4 0.5000 0.1627 0.1627

---

This record from the Alexandria database describes an optimized crystal structure of Dy3AlCo8. The functional is PBE-GGA.

a b c (Å): 8.6486 8.6486 8.6486
angles (deg): 33.41 33.41 33.41
Fractional coordinates of all 12 atoms:
Dy1 0.0000 0.0000 0.0000
Dy2 0.1274 0.1274 0.1274
Dy3 0.5077 0.5077 0.5077
Al1 0.6300 0.6300 0.6300
Co1 0.0576 0.5651 0.5651
Co2 0.0666 0.0666 0.5707
Co3 0.0666 0.5707 0.0666
Co4 0.3145 0.3145 0.3145
Co5 0.5651 0.0576 0.5651
Co6 0.5651 0.5651 0.0576
Co7 0.5707 0.0666 0.0666
Co8 0.8151 0.8151 0.8151

---

This record from the Alexandria database describes an optimized crystal structure of Dy2AlCo. The functional is PBE-GGA.

a b c (Å): 3.2915 3.2915 29.3848
angles (deg): 90.00 90.00 120.00
Fractional coordinates of all 12 atoms:
Dy1 0.0000 0.0000 0.0842
Dy2 0.0000 0.0000 0.9158
Dy3 0.3333 0.6667 0.5825
Dy4 0.3333 0.6667 0.7508
Dy5 0.6667 0.3333 0.2492
Dy6 0.6667 0.3333 0.4175
Al1 0.0000 0.0000 0.5000
Al2 0.3333 0.6667 0.1667
Al3 0.6667 0.3333 0.8333
Co1 0.0000 0.0000 0.0000
Co2 0.3333 0.6667 0.6667
Co3 0.6667 0.3333 0.3333

---

This record from the Alexandria database describes an optimized crystal structure of Dy2AlCo. The functional is PBE-GGA.

a b c (Å): 3.4238 3.4238 7.2445
angles (deg): 90.00 90.00 90.00
Fractional coordinates of all 4 atoms:
Dy1 0.0000 0.0000 0.2249
Dy2 0.0000 0.0000 0.7751
Al1 0.5000 0.5000 0.5000
Co1 0.5000 0.5000 0.0000

---

This record from the Alexandria database describes an optimized crystal structure of Dy3AlCo3. The functional is PBE-GGA.

a b c (Å): 5.4155 5.4155 12.9571
angles (deg): 90.00 90.00 136.16
Fractional coordinates of all 14 atoms:
Dy1 0.0070 0.9930 0.7500
Dy2 0.2932 0.7068 0.6047
Dy3 0.2932 0.7068 0.8953
Dy4 0.7068 0.2932 0.1047
Dy5 0.7068 0.2932 0.3953
Dy6 0.9930 0.0070 0.2500
Al1 0.0000 0.0000 0.0000
Al2 0.0000 0.0000 0.5000
Co1 0.2953 0.7047 0.2500
Co2 0.4176 0.5824 0.0935
Co3 0.4176 0.5824 0.4065
Co4 0.5824 0.4176 0.5935
Co5 0.5824 0.4176 0.9065
Co6 0.7047 0.2953 0.7500

---

This record from the Alexandria database describes an optimized crystal structure of DyAlCo. The functional is PBE-GGA.

a b c (Å): 3.1223 3.1223 10.8644
angles (deg): 90.00 90.00 90.00
Fractional coordinates of all 6 atoms:
Dy1 0.0000 0.0000 0.0000
Dy2 0.5000 0.5000 0.5000
Al1 0.0000 0.0000 0.2811
Al2 0.5000 0.5000 0.7811
Co1 0.0000 0.0000 0.6718
Co2 0.5000 0.5000 0.1718

---

This record from the Alexandria database describes an optimized crystal structure of DyAl3Co. The functional is PBE-GGA.

## Properties
Offset from the most stable computed form   192 meV per atom

a b c (Å): 4.5048 4.5048 4.5048
angles (deg): 90.00 90.00 90.00
Fractional coordinates of all 5 atoms:
Dy1 0.0000 0.0000 0.0000
Al1 0.0000 0.5000 0.5000
Al2 0.5000 0.0000 0.5000
Al3 0.5000 0.5000 0.0000
Co1 0.5000 0.5000 0.5000

---

This record from the Alexandria database describes an optimized crystal structure of Dy8Al2Co. The functional is PBE-GGA.

a b c (Å): 8.9965 8.9965 6.7865
angles (deg): 110.97 110.97 34.33
Fractional coordinates of all 11 atoms:
Dy1 0.0108 0.0108 0.2710
Dy2 0.2004 0.2004 0.7594
Dy3 0.3564 0.3564 0.5775
Dy4 0.3995 0.3995 0.0920
Dy5 0.6005 0.6005 0.9080
Dy6 0.6436 0.6436 0.4225
Dy7 0.7996 0.7996 0.2406
Dy8 0.9892 0.9892 0.7290
Al1 0.1802 0.1802 0.1934
Al2 0.8198 0.8198 0.8066
Co1 0.5000 0.5000 0.5000

---

Number 1: ΔE_f -210 meV per atom, VASP energy -4.264 eV/atom. Number 2: ΔE_f -488 meV per atom, VASP energy -4.818 eV/atom. Number 3: ΔE_f -249 meV per atom, VASP energy -5.311 eV/atom. Number 4: ΔE_f -319 meV per atom, VASP energy -6.029 eV/atom. Number 5: ΔE_f -376 meV per atom, VASP energy -5.526 eV/atom. Number 6: ΔE_f -209 meV per atom, VASP energy -6.409 eV/atom. Number 7: ΔE_f 399 meV per atom, VASP energy -4.614 eV/atom. Number 8: ΔE_f -279 meV per atom, VASP energy -5.293 eV/atom. Number 9: ΔE_f -345 meV per atom, VASP energy -5.898 eV/atom. Number 10: ΔE_f -291 meV per atom, VASP energy -5.441 eV/atom. Number 11: ΔE_f -348 meV per atom, VASP energy -4.935 eV/atom. Number 12: ΔE_f -158 meV per atom, VASP energy -4.831 eV/atom.